The following is a PBE calculation of a geometry-optimized TaTeW2 structure, from Alexandria.

Summary:
The value obtained for the formation energy without anion corrections is 0.9938 eV/atom. The calculated volume comes out at 311 Å³/cell. For the total energy, the calculation gives -147.7 eV for the cell shown.

a = 3.9237 Å, b = 3.9237 Å, c = 20.1925 Å
α = 90.00°, β = 90.00°, γ = 90.00°
Space group I-42d (No. 122)
Unique sites:
Ta: 0.0000 0.0000 0.0000 (multiplicity 4)
Te: 0.0000 0.0000 0.5000 (multiplicity 4)
W: 0.2450 0.2500 0.1250 (multiplicity 8)